# 1
# KCoBPt2 PBE relaxed
# VASP energy = -12.89 eV per cell
# Fermi-level density of states = 6.64 states/eV/cell
# energy of formation = 271.6 kJ/mol of atoms
# total magnetic moment = 2.573 μB/f.u.
data_KCoBPt2
_chemical_formula_sum 'K1 Co1 B1 Pt2'
_symmetry_space_group_name_H-M 'P 4/m m m'
_symmetry_Int_Tables_number 123
_symmetry_space_group_name_Hall '-P 4 2'
_cell_length_a 5.0523
_cell_length_b 5.0523
_cell_length_c 4.4823
_cell_angle_alpha 90.00
_cell_angle_beta 90.00
_cell_angle_gamma 90.00
loop_
_atom_site_label
_atom_site_fract_x
_atom_site_fract_y
_atom_site_fract_z
K1 0.0000 0.0000 0.0000
Co1 0.5000 0.5000 0.5000
B1 0.0000 0.0000 0.5000
Pt1 0.0000 0.5000 0.0000

# 2
# Ac2CuHgIr PBE relaxed
# VASP energy = -46.81 eV per cell
# Fermi-level density of states = 4.90 states/eV/cell
# energy of formation = -37.3 kJ/mol of atoms
# total magnetic moment = 0.000 μB/f.u.
data_Ac2CuHgIr
_chemical_formula_sum 'Ac4 Cu2 Hg2 Ir2'
_symmetry_space_group_name_H-M 'P 1 21/m 1'
_symmetry_Int_Tables_number 11
_symmetry_space_group_name_Hall '-P 2yb'
_cell_length_a 7.6337
_cell_length_b 4.4104
_cell_length_c 9.2269
_cell_angle_alpha 90.00
_cell_angle_beta 106.95
_cell_angle_gamma 90.00
loop_
_atom_site_label
_atom_site_fract_x
_atom_site_fract_y
_atom_site_fract_z
Ac1 0.1983 0.2500 0.3907
Ac2 0.2307 0.2500 0.9728
Cu1 0.4929 0.2500 0.7361
Hg1 0.2869 0.7500 0.6943
Ir1 0.1727 0.7500 0.1778

# 3
# Pm4RuSCl2 PBE relaxed
# VASP energy = -46.40 eV per cell
# Fermi-level density of states = 5.84 states/eV/cell
# raw formation energy = -1287 meV per atom
# total magnetic moment = 0.000 μB/f.u.
data_Pm4RuSCl2
_chemical_formula_sum 'Pm4 Ru1 S1 Cl2'
_symmetry_space_group_name_H-M 'P 1 2/m 1'
_symmetry_Int_Tables_number 10
_symmetry_space_group_name_Hall '-P 2y'
_cell_length_a 7.3102
_cell_length_b 3.9711
_cell_length_c 7.4715
_cell_angle_alpha 90.00
_cell_angle_beta 106.74
_cell_angle_gamma 90.00
loop_
_atom_site_label
_atom_site_fract_x
_atom_site_fract_y
_atom_site_fract_z
Pm1 0.2246 0.0000 0.2106
Pm2 0.2566 0.5000 0.7914
Ru1 0.0000 0.5000 0.0000
S1 0.5000 0.0000 0.0000
Cl1 0.0000 0.0000 0.5000
Cl2 0.5000 0.5000 0.5000

> What is the total magnetic moment in the second record?

0.000 μB/f.u.

> Which of these has the highest Fermi-level density of states?

KCoBPt2

> Number 2 is which compound?

Ac2CuHgIr

> Look up the VASP energy of the third one.

-46.40 eV per cell